Below is crystalline YSn2Os at its relaxed geometry, with properties calculated at the PBE-GGA level.

Results
ΔH_f (0 K) = -0.03 eV per atom
total energy = -6.4536 eV/atom
D(E_F) = 9.091 states/eV/cell
calculated volume = 20.91 A^3/atom

Cell and atoms, written as CIF:
```
data_YSn2Os
_cell_length_a 6.943
_cell_length_b 6.943
_cell_length_c 6.943
_cell_angle_alpha 90.00
_cell_angle_beta 90.00
_cell_angle_gamma 90.00
_space_group_name_H-M_alt 'F m -3 m'
_space_group_IT_number 225
_space_group_name_Hall '-F 4 2 3'
loop_
_atom_site_label
_atom_site_fract_x
_atom_site_fract_y
_atom_site_fract_z
Y1 0.000 0.000 0.000
Sn1 0.250 0.250 0.250
Os1 0.000 0.000 0.500
```

=====

Below is crystalline MgTaFeNi2 at its relaxed geometry, with properties calculated at the PBE-GGA level.

Results
ΔH_f (0 K) = 1.74 eV per atom
total energy = -4.9506 eV/atom
D(E_F) = 8.711 states/eV/cell
calculated volume = 16.25 A^3/atom

Cell and atoms, written as CIF:
```
data_MgTaFeNi2
_cell_length_a 4.083
_cell_length_b 4.083
_cell_length_c 4.874
_cell_angle_alpha 90.00
_cell_angle_beta 90.00
_cell_angle_gamma 90.00
_space_group_name_H-M_alt 'P 4/m m m'
_space_group_IT_number 123
_space_group_name_Hall '-P 4 2'
loop_
_atom_site_label
_atom_site_fract_x
_atom_site_fract_y
_atom_site_fract_z
Mg1 0.000 0.000 0.000
Ta1 0.000 0.000 0.500
Fe1 0.500 0.500 0.500
Ni1 0.000 0.500 0.000
```

=====

Below is crystalline La5Co6 at its relaxed geometry, with properties calculated at the PBE-GGA level.

Results
ΔH_f (0 K) = -0.07 eV per atom
total energy = -6.1896 eV/atom
D(E_F) = 21.388 states/eV/cell
calculated volume = 21.86 A^3/atom

Cell and atoms, written as CIF:
```
data_La5Co6
_cell_length_a 3.995
_cell_length_b 29.274
_cell_length_c 4.113
_cell_angle_alpha 90.00
_cell_angle_beta 90.00
_cell_angle_gamma 90.00
_space_group_name_H-M_alt 'C m m m'
_space_group_IT_number 65
_space_group_name_Hall '-C 2 2'
loop_
_atom_site_label
_atom_site_fract_x
_atom_site_fract_y
_atom_site_fract_z
La1 0.000 0.000 0.000
La2 0.000 0.196 0.500
La3 0.000 0.388 0.000
Co1 0.000 0.079 0.500
Co2 0.000 0.271 0.000
Co3 0.000 0.460 0.500
```

=====

Below is crystalline DyThOs at its relaxed geometry, with properties calculated at the PBE-GGA level.

Results
ΔH_f (0 K) = -0.22 eV per atom
total energy = -7.9711 eV/atom
D(E_F) = 16.716 states/eV/cell
calculated volume = 25.34 A^3/atom

Cell and atoms, written as CIF:
```
data_DyThOs
_cell_length_a 4.748
_cell_length_b 12.773
_cell_length_c 7.521
_cell_angle_alpha 90.00
_cell_angle_beta 90.00
_cell_angle_gamma 90.00
_space_group_name_H-M_alt 'A m m 2'
_space_group_IT_number 38
loop_
_space_group_symop_operation_xyz
'x,y,z'
'-x,-y,z'
'-x,y,z'
'x,-y,z'
'x,y+1/2,z+1/2'
'-x,-y+1/2,z+1/2'
'-x,y+1/2,z+1/2'
'x,-y+1/2,z+1/2'
loop_
_atom_site_label
_atom_site_fract_x
_atom_site_fract_y
_atom_site_fract_z
Dy1 0.000 0.000 0.000
Dy2 0.000 0.206 0.388
Th1 0.500 0.000 0.328
Th2 0.500 0.135 0.720
Os1 0.000 0.000 0.593
Os2 0.500 0.163 0.086
```

=====

Below is crystalline La2PrNd2Mg at its relaxed geometry, with properties calculated at the PBE-GGA level.

Results
ΔH_f (0 K) = 0.20 eV per atom
total energy = -4.0930 eV/atom
D(E_F) = 19.454 states/eV/cell
calculated volume = 34.86 A^3/atom

Cell and atoms, written as CIF:
```
data_La2PrNd2Mg
_cell_length_a 6.195
_cell_length_b 19.183
_cell_length_c 3.520
_cell_angle_alpha 90.00
_cell_angle_beta 90.00
_cell_angle_gamma 90.00
_space_group_name_H-M_alt 'P n n m'
_space_group_IT_number 58
loop_
_space_group_symop_operation_xyz
'x,y,z'
'-x,-y,-z'
'-x,-y,z'
'x,y,-z'
'x+1/2,-y+1/2,-z+1/2'
'-x+1/2,y+1/2,z+1/2'
'-x+1/2,y+1/2,-z+1/2'
'x+1/2,-y+1/2,z+1/2'
loop_
_atom_site_label
_atom_site_fract_x
_atom_site_fract_y
_atom_site_fract_z
La1 0.153 0.139 0.000
Pr1 0.000 0.500 0.500
Nd1 0.149 0.298 0.500
Mg1 0.000 0.000 0.500
```

=====

Below is crystalline Ho2Mg3Tl at its relaxed geometry, with properties calculated at the PBE-GGA level.

Results
ΔH_f (0 K) = -0.15 eV per atom
total energy = -2.8711 eV/atom
D(E_F) = 35.117 states/eV/cell
calculated volume = 25.68 A^3/atom

Cell and atoms, written as CIF:
```
data_Ho2Mg3Tl
_cell_length_a 6.850
_cell_length_b 10.227
_cell_length_c 17.594
_cell_angle_alpha 90.00
_cell_angle_beta 90.00
_cell_angle_gamma 90.00
_space_group_name_H-M_alt 'F m m m'
_space_group_IT_number 69
_space_group_name_Hall '-F 2 2'
loop_
_atom_site_label
_atom_site_fract_x
_atom_site_fract_y
_atom_site_fract_z
Ho1 0.249 0.000 0.000
Ho2 0.250 0.250 0.250
Mg1 0.000 0.000 0.333
Mg2 0.000 0.250 0.083
Tl1 0.000 0.000 0.166
```

=====

Below is crystalline Ti8GaP2 at its relaxed geometry, with properties calculated at the PBE-GGA level.

Results
ΔH_f (0 K) = -0.55 eV per atom
total energy = -7.5477 eV/atom
D(E_F) = 22.951 states/eV/cell
calculated volume = 16.39 A^3/atom

Cell and atoms, written as CIF:
```
data_Ti8GaP2
_cell_length_a 7.323
_cell_length_b 11.054
_cell_length_c 4.616
_cell_angle_alpha 90.00
_cell_angle_beta 105.20
_cell_angle_gamma 90.00
_space_group_name_H-M_alt 'C 1 2/m 1'
_space_group_IT_number 12
loop_
_space_group_symop_operation_xyz
'x,y,z'
'-x,-y,-z'
'-x,y,-z'
'x,-y,z'
'x+1/2,y+1/2,z'
'-x+1/2,-y+1/2,-z'
'-x+1/2,y+1/2,-z'
'x+1/2,-y+1/2,z'
loop_
_atom_site_label
_atom_site_fract_x
_atom_site_fract_y
_atom_site_fract_z
Ti1 0.000 0.245 0.000
Ti2 0.103 0.500 0.817
Ti3 0.199 0.122 0.572
Ga1 0.000 0.000 0.000
P1 0.000 0.311 0.500
```

=====

Below is crystalline Zr2BeC at its relaxed geometry, with properties calculated at the PBE-GGA level.

Results
ΔH_f (0 K) = 0.14 eV per atom
total energy = -7.3759 eV/atom
D(E_F) = 15.594 states/eV/cell
calculated volume = 16.14 A^3/atom

Cell and atoms, written as CIF:
```
data_Zr2BeC
_cell_length_a 6.402
_cell_length_b 6.402
_cell_length_c 6.300
_cell_angle_alpha 90.00
_cell_angle_beta 90.00
_cell_angle_gamma 90.00
_space_group_name_H-M_alt 'I -4 2 d'
_space_group_IT_number 122
_space_group_name_Hall 'I -4 2bw'
loop_
_atom_site_label
_atom_site_fract_x
_atom_site_fract_y
_atom_site_fract_z
Zr1 0.206 0.750 0.125
Be1 0.000 0.000 0.500
C1 0.000 0.000 0.000
```

=====

Below is crystalline TaBeCu at its relaxed geometry, with properties calculated at the PBE-GGA level.

Results
ΔH_f (0 K) = -0.09 eV per atom
total energy = -6.6440 eV/atom
D(E_F) = 2.694 states/eV/cell
calculated volume = 12.63 A^3/atom

Cell and atoms, written as CIF:
```
data_TaBeCu
_cell_length_a 3.219
_cell_length_b 4.888
_cell_length_c 5.411
_cell_angle_alpha 75.99
_cell_angle_beta 72.70
_cell_angle_gamma 70.79
_space_group_name_H-M_alt 'P -1'
_space_group_IT_number 2
loop_
_space_group_symop_operation_xyz
'x,y,z'
'-x,-y,-z'
loop_
_atom_site_label
_atom_site_fract_x
_atom_site_fract_y
_atom_site_fract_z
Ta1 0.085 0.161 0.169
Be1 0.368 0.594 0.172
Cu1 0.324 0.275 0.575
```

=====

Below is crystalline Pr2TcNi3P4 at its relaxed geometry, with properties calculated at the PBE-GGA level.

Results
ΔH_f (0 K) = -0.93 eV per atom
total energy = -6.8205 eV/atom
D(E_F) = 4.665 states/eV/cell
calculated volume = 15.70 A^3/atom

Cell and atoms, written as CIF:
```
data_Pr2TcNi3P4
_cell_length_a 4.066
_cell_length_b 4.066
_cell_length_c 9.498
_cell_angle_alpha 90.00
_cell_angle_beta 90.00
_cell_angle_gamma 90.00
_space_group_name_H-M_alt 'P -4 m 2'
_space_group_IT_number 115
loop_
_space_group_symop_operation_xyz
'x,y,z'
'y,-x,-z'
'-x,-y,z'
'-y,x,-z'
'-x,y,z'
'-y,-x,-z'
'x,-y,z'
'y,x,-z'
loop_
_atom_site_label
_atom_site_fract_x
_atom_site_fract_y
_atom_site_fract_z
Pr1 0.000 0.500 0.237
Tc1 0.000 0.000 0.500
Ni1 0.000 0.500 0.889
Ni2 0.500 0.500 0.500
P1 0.000 0.000 0.000
P2 0.000 0.500 0.635
P3 0.500 0.500 0.000
```

=====

Below is crystalline TmHfHgPb at its relaxed geometry, with properties calculated at the PBE-GGA level.

Results
ΔH_f (0 K) = -0.09 eV per atom
total energy = -4.6974 eV/atom
D(E_F) = 12.138 states/eV/cell
calculated volume = 24.11 A^3/atom

Cell and atoms, written as CIF:
```
data_TmHfHgPb
_cell_length_a 7.280
_cell_length_b 7.280
_cell_length_c 7.280
_cell_angle_alpha 90.00
_cell_angle_beta 90.00
_cell_angle_gamma 90.00
_space_group_name_H-M_alt 'F -4 3 m'
_space_group_IT_number 216
_space_group_name_Hall 'F -4 2 3'
loop_
_atom_site_label
_atom_site_fract_x
_atom_site_fract_y
_atom_site_fract_z
Tm1 0.000 0.000 0.000
Hf1 0.000 0.000 0.500
Hg1 0.250 0.250 0.250
Pb1 0.250 0.250 0.750
```

=====

Below is crystalline LiCdRh2 at its relaxed geometry, with properties calculated at the PBE-GGA level.

Results
ΔH_f (0 K) = -0.04 eV per atom
total energy = -4.4247 eV/atom
D(E_F) = 11.345 states/eV/cell
calculated volume = 15.30 A^3/atom

Cell and atoms, written as CIF:
```
data_LiCdRh2
_cell_length_a 3.830
_cell_length_b 3.830
_cell_length_c 8.347
_cell_angle_alpha 90.00
_cell_angle_beta 90.00
_cell_angle_gamma 90.00
_space_group_name_H-M_alt 'I 4/m m m'
_space_group_IT_number 139
_space_group_name_Hall '-I 4 2'
loop_
_atom_site_label
_atom_site_fract_x
_atom_site_fract_y
_atom_site_fract_z
Li1 0.000 0.000 0.000
Cd1 0.000 0.000 0.500
Rh1 0.000 0.500 0.250
```